First-principles (PBE) data for a relaxed structure of ThSnRh2, as listed in Alexandria via LeMat-Bulk.

Geometry as CIF:
```
data_ThSnRh2
_cell_length_a 4.7557
_cell_length_b 4.7557
_cell_length_c 3.5624
_cell_angle_alpha 90.00
_cell_angle_beta 90.00
_cell_angle_gamma 90.00
_symmetry_space_group_name_H-M 'P 4/m m m'
_symmetry_Int_Tables_number 123
_symmetry_space_group_name_Hall '-P 4 2'
loop_
_atom_site_label
_atom_site_fract_x
_atom_site_fract_y
_atom_site_fract_z
Th1 0.0000 0.0000 0.0000
Sn1 0.5000 0.5000 0.0000
Rh1 0.0000 0.5000 0.5000
```

Computed properties:
Total magnetization: 0.000 μB/cell
Theoretical density: 11.471 Mg/m³
Energy: -7.20 eV per atom
ΔH_f (0 K): -671 meV per atom